Entry 1:
## PmYAg2S4 (PBE-GGA)

Data for a relaxed PmYAg2S4 crystal.

Structure (POSCAR):
```
PmYAg2S4
1.0
6.5284 0.0000 0.0000
0.0000 4.0915 0.0000
-2.4651 0.0000 6.6234
Pm Y Ag S
1 1 2 4
Cartesian
0.0000 0.0000 0.0000
-1.2326 2.0457 3.3117
2.0316 0.0000 3.3117
3.2642 2.0457 0.0000
-0.2331 0.0000 4.9005
0.9834 2.0457 1.6635
3.0799 2.0457 4.9599
4.2963 0.0000 1.7229
```

Properties
Formation energy (no corrections) (eV per atom): -1.267
Total magnetization (μB per formula unit): 0.00
Density of states at the Fermi level (states/eV per cell): 0.000
Space group: P2/m (10)



Entry 2:
## Pm2AgSb (PBE-GGA)

Data for a relaxed Pm2AgSb crystal.

Structure (POSCAR):
```
Pm2AgSb
1.0
5.1758 0.0000 0.0000
0.0000 5.1758 0.0000
0.0000 0.0000 4.0571
Pm Ag Sb
2 1 1
Cartesian
0.0000 2.5879 0.0000
2.5879 0.0000 0.0000
0.0000 0.0000 2.0286
2.5879 2.5879 2.0286
```

Properties
Formation energy (no corrections) (eV per atom): -0.635
E above lowest polymorph (meV per atom): 0
Total magnetization (μB per formula unit): 0.00
Density of states at the Fermi level (states/eV per cell): 3.229
Space group: P4/mmm (123)



Entry 3:
## PmAgSb (PBE-GGA)

Data for a relaxed PmAgSb crystal.

Structure (POSCAR):
```
PmAgSb
1.0
4.6311 0.0000 0.0000
-2.3156 4.0107 0.0000
0.0000 0.0000 4.1918
Pm Ag Sb
1 1 1
Cartesian
0.0000 0.0000 0.0000
0.0000 2.6738 1.8899
2.3156 1.3369 2.1928
```

Properties
Formation energy (no corrections) (eV per atom): -0.642
E above lowest polymorph (meV per atom): 27
Total magnetization (μB per formula unit): 0.00
Density of states at the Fermi level (states/eV per cell): 2.112
Space group: P3m1 (156)



Entry 4:
## Pm2AgSb (PBE-GGA)

Data for a relaxed Pm2AgSb crystal.

Structure (POSCAR):
```
Pm2AgSb
1.0
7.5580 0.0000 0.0000
0.0000 7.5580 0.0000
0.0000 0.0000 7.5580
Pm Ag Sb
8 4 4
Cartesian
1.8895 1.8895 1.8895
1.8895 1.8895 5.6685
1.8895 5.6685 1.8895
1.8895 5.6685 5.6685
5.6685 1.8895 1.8895
5.6685 1.8895 5.6685
5.6685 5.6685 1.8895
5.6685 5.6685 5.6685
0.0000 0.0000 0.0000
0.0000 3.7790 3.7790
3.7790 0.0000 3.7790
3.7790 3.7790 0.0000
0.0000 0.0000 3.7790
0.0000 3.7790 0.0000
3.7790 0.0000 0.0000
3.7790 3.7790 3.7790
```

Properties
Formation energy (no corrections) (eV per atom): -0.601
E above lowest polymorph (meV per atom): 34
Total magnetization (μB per formula unit): 0.00
Density of states at the Fermi level (states/eV per cell): 16.200
Space group: Fm-3m (225)



Entry 5:
## PmAg2Sb2 (PBE-GGA)

Data for a relaxed PmAg2Sb2 crystal.

Structure (POSCAR):
```
PmAg2Sb2
1.0
2.2117 -12.3759 0.0000
2.2117 12.3759 0.0000
0.0000 0.0000 4.4012
Pm Ag Sb
2 4 4
Cartesian
2.2117 8.6597 3.3009
2.2117 -8.6597 1.1003
2.2117 11.4075 1.1003
2.2117 0.9598 1.1003
2.2117 -0.9598 3.3009
2.2117 -11.4075 3.3009
2.2117 6.1895 1.1003
2.2117 2.8239 3.3009
2.2117 -2.8239 1.1003
2.2117 -6.1895 3.3009
```

Properties
Formation energy (no corrections) (eV per atom): -0.513
Total magnetization (μB per formula unit): 0.00
Density of states at the Fermi level (states/eV per cell): 3.285
Space group: Cmcm (63)



Entry 6:
## Pm6Ag5Sb (PBE-GGA)

Data for a relaxed Pm6Ag5Sb crystal.

Structure (POSCAR):
```
Pm6Ag5Sb
1.0
-2.6326 3.7735 7.9854
2.6326 -3.7735 7.9854
2.6326 3.7735 -7.9854
Pm Ag Sb
6 5 1
Cartesian
2.6326 1.8812 -2.6694
0.0000 1.8742 0.0000
2.6326 1.8812 2.6694
0.0000 1.8923 5.3160
0.0000 5.6728 0.0000
0.0000 1.8923 10.6548
2.6326 0.0000 0.0000
0.0000 0.0000 2.6796
2.6326 0.0000 5.1972
0.0000 3.7735 2.7882
0.0000 0.0000 13.2912
0.0000 0.0000 7.9854
```

Properties
Formation energy (no corrections) (eV per atom): -0.386
Total magnetization (μB per formula unit): 1.37
Density of states at the Fermi level (states/eV per cell): 12.879
Space group: Immm (71)



Entry 7:
## Pm3AgSb2 (PBE-GGA)

Data for a relaxed Pm3AgSb2 crystal.

Structure (POSCAR):
```
Pm3AgSb2
1.0
4.4860 0.0000 0.0000
0.0000 6.2885 0.0000
0.0000 0.0000 13.3687
Pm Ag Sb
6 2 4
Cartesian
0.0000 0.0000 0.0000
0.0000 0.0000 4.3521
0.0000 0.0000 9.0166
2.2430 3.1442 2.3323
2.2430 3.1442 6.6844
2.2430 3.1442 11.0364
0.0000 3.1442 0.0000
2.2430 0.0000 6.6844
0.0000 3.1442 4.4775
0.0000 3.1442 8.8913
2.2430 0.0000 2.2069
2.2430 0.0000 11.1618
```

Properties
Formation energy (no corrections) (eV per atom): -0.766
Total magnetization (μB per formula unit): 0.00
Density of states at the Fermi level (states/eV per cell): 12.115
Space group: Immm (71)



Entry 8:
## PmAgSb (PBE-GGA)

Data for a relaxed PmAgSb crystal.

Structure (POSCAR):
```
PmAgSb
1.0
7.0153 0.0000 0.0000
0.0000 7.0153 0.0000
0.0000 0.0000 7.0153
Pm Ag Sb
4 4 4
Cartesian
0.0000 0.0000 0.0000
0.0000 3.5076 3.5076
3.5076 0.0000 3.5076
3.5076 3.5076 0.0000
0.0000 0.0000 3.5076
0.0000 3.5076 0.0000
3.5076 0.0000 0.0000
3.5076 3.5076 3.5076
1.7538 1.7538 1.7538
1.7538 5.2615 5.2615
5.2615 1.7538 5.2615
5.2615 5.2615 1.7538
```

Properties
Formation energy (no corrections) (eV per atom): -0.412
E above lowest polymorph (meV per atom): 256
Total magnetization (μB per formula unit): 0.00
Density of states at the Fermi level (states/eV per cell): 7.868
Space group: F-43m (216)



Entry 9:
## PmAgSb (PBE-GGA)

Data for a relaxed PmAgSb crystal.

Structure (POSCAR):
```
PmAgSb
1.0
4.1922 0.0000 0.0000
0.0000 4.1922 0.0000
0.0000 0.0000 9.1217
Pm Ag Sb
2 2 2
Cartesian
0.0000 0.0000 0.0000
2.0961 2.0961 4.5608
0.0000 0.0000 3.0293
2.0961 2.0961 7.5901
0.0000 0.0000 5.9227
2.0961 2.0961 1.3618
```

Properties
Formation energy (no corrections) (eV per atom): -0.433
E above lowest polymorph (meV per atom): 235
Total magnetization (μB per formula unit): 0.00
Density of states at the Fermi level (states/eV per cell): 2.373
Space group: I4mm (107)



Entry 10:
## PmAgSb (PBE-GGA)

Data for a relaxed PmAgSb crystal.

Structure (POSCAR):
```
PmAgSb
1.0
11.4285 0.0000 0.0000
0.0000 4.5305 0.0000
-4.4509 0.0000 5.9367
Pm Ag Sb
4 4 4
Cartesian
-0.8128 0.0000 1.7727
2.0762 2.2653 4.1640
4.9014 2.2653 1.7727
7.7904 0.0000 4.1640
1.3198 2.2653 0.4465
-0.0565 0.0000 5.4902
7.0341 0.0000 0.4465
5.6578 2.2653 5.4902
-1.1039 2.2653 4.1904
2.3673 0.0000 1.7463
4.6103 0.0000 4.1904
8.0815 2.2653 1.7463
```

Properties
Formation energy (no corrections) (eV per atom): -0.668
E above lowest polymorph (meV per atom): 0
Total magnetization (μB per formula unit): 0.00
Density of states at the Fermi level (states/eV per cell): 5.166
Space group: C2/m (12)



Entry 11:
## Pm4AgSb (PBE-GGA)

Data for a relaxed Pm4AgSb crystal.

Structure (POSCAR):
```
Pm4AgSb
1.0
2.8117 -10.6103 0.0000
2.8117 10.6103 0.0000
0.0000 0.0000 6.4769
Pm Ag Sb
8 2 2
Cartesian
2.8117 9.3652 4.8577
2.8117 6.1811 3.2619
2.8117 6.1811 6.4535
2.8117 2.5455 4.8577
2.8117 -2.5455 1.6192
2.8117 -6.1811 0.0234
2.8117 -6.1811 3.2150
2.8117 -9.3652 1.6192
2.8117 8.9214 1.6192
2.8117 -8.9214 4.8577
2.8117 3.2135 1.6192
2.8117 -3.2135 4.8577
```

Properties
Formation energy (no corrections) (eV per atom): -0.294
Total magnetization (μB per formula unit): 0.00
Density of states at the Fermi level (states/eV per cell): 12.818
Space group: Cmcm (63)



Entry 12:
## PmAg2Sb (PBE-GGA)

Data for a relaxed PmAg2Sb crystal.

Structure (POSCAR):
```
PmAg2Sb
1.0
4.4005 0.0000 0.0000
0.0000 4.4005 0.0000
0.0000 0.0000 4.9106
Pm Ag Sb
1 2 1
Cartesian
0.0000 0.0000 0.0000
0.0000 2.2002 2.4553
2.2002 0.0000 2.4553
2.2002 2.2002 0.0000
```

Properties
Formation energy (no corrections) (eV per atom): -0.415
Total magnetization (μB per formula unit): 0.00
Density of states at the Fermi level (states/eV per cell): 1.485
Space group: P4/mmm (123)



Entry 13:
## PmThAgSb (PBE-GGA)

Data for a relaxed PmThAgSb crystal.

Structure (POSCAR):
```
PmThAgSb
1.0
7.5925 0.0000 0.0000
0.0000 7.5925 0.0000
0.0000 0.0000 7.5925
Pm Th Ag Sb
4 4 4 4
Cartesian
0.0000 0.0000 0.0000
0.0000 3.7962 3.7962
3.7962 0.0000 3.7962
3.7962 3.7962 0.0000
0.0000 0.0000 3.7962
0.0000 3.7962 0.0000
3.7962 0.0000 0.0000
3.7962 3.7962 3.7962
1.8981 1.8981 5.6943
1.8981 5.6943 1.8981
5.6943 1.8981 1.8981
5.6943 5.6943 5.6943
1.8981 1.8981 1.8981
1.8981 5.6943 5.6943
5.6943 1.8981 5.6943
5.6943 5.6943 1.8981
```

Properties
Formation energy (no corrections) (eV per atom): -0.451
Total magnetization (μB per formula unit): 0.00
Density of states at the Fermi level (states/eV per cell): 19.199
Space group: F-43m (216)